[1]
CrSeBr2 (GGA-PBE, relaxed); energy relative to the elements, uncorrected = -0.11 eV/atom; polymorph energy (0 for the lowest one) = 301 meV per atom
1.0
3.762 0.000 0.000
0.000 3.762 0.000
0.000 0.000 8.125
Cr Se Br
1 1 2
Cartesian
0.000 0.000 0.000
1.881 1.881 7.709
0.000 0.000 2.358
1.881 1.881 5.279

***

[2]
SrFeTc (GGA-PBE, relaxed); formation enthalpy at 0 K = 0.59 eV/atom; polymorph energy (0 for the lowest one) = 88 meV per atom
1.0
-1.510 1.773 5.715
1.510 -1.773 5.715
1.510 1.773 -5.715
Sr Fe Tc
1 1 1
Cartesian
0.000 0.000 0.000
0.000 0.000 3.239
0.000 0.000 8.232

***

[3]
BaCaMg6 (GGA-PBE, relaxed); formation enthalpy at 0 K = 0.06 eV/atom; polymorph energy (0 for the lowest one) = 66 meV per atom
1.0
5.354 0.000 0.000
0.000 3.967 5.779
0.000 -3.967 5.779
Ba Ca Mg
1 1 6
Cartesian
0.000 0.000 0.000
0.000 0.000 6.577
0.000 -1.533 3.353
0.000 1.533 3.353
2.677 0.000 2.426
2.677 -1.601 5.262
2.677 1.601 5.262
2.677 0.000 8.749

***

[4]
Zn2MoCl (GGA-PBE, relaxed); energy relative to the elements, uncorrected = 0.38 eV/atom; polymorph energy (0 for the lowest one) = 299 meV per atom
1.0
5.418 -1.416 0.000
5.418 1.416 0.000
-0.689 0.000 4.252
Zn Mo Cl
2 1 1
Cartesian
2.289 0.000 0.988
7.858 0.000 3.264
5.418 0.000 0.000
-0.345 0.000 2.126

***

What did we get for D(E_F)? Answer: 2.4, 3.4, 6.0, 2.7 states/eV/f.u., in the order shown.
What did we get for size of the total moment? Answer: 1.0020, 0.4975, 0.0000, 0.0001 μB per atom, in the order shown.